Li2CoBrCl: optimized geometry, PBE.

a = 5.1824 Å, b = 4.2735 Å, c = 5.1824 Å
α = 90.00°, β = 90.00°, γ = 90.00°
With the nearest neighbours (Å) after each atom.
Element x y z (fractional)
Br 0.0000 0.5000 0.0000  2 Co 2.14
Li 0.0000 0.0000 0.5000  2 Co 2.59
Li 0.5000 0.0000 0.0000  2 Co 2.59
Cl 0.5000 0.5000 0.5000  8 Li 3.36, 4 Br 3.66
Co 0.0000 0.0000 0.0000  2 Br 2.14

volume = 115 Å³/cell
M_tot = 1.000 Bohr magnetons per cell
E = -15.93 eV/f.u.
raw formation energy = -0.295 eV/atom